# 1
Here is a geometry-optimized BeWBr2 structure from Alexandria via LeMat-Bulk. Energies are from PBEsol.

offset from the most stable computed form = 0.0000 eV per atom

a b c (Å): 3.070 4.334 7.516
angles (deg): 101.82 90.00 110.75
Fractional coordinates of all 4 atoms:
Be 0.815 0.629 0.310
Br 0.970 0.941 0.109
Br 0.152 0.305 0.675
W 0.563 0.125 0.407

***

# 2
Here is a geometry-optimized Y2BeBr structure from Alexandria via LeMat-Bulk. Energies are from PBEsol.

offset from the most stable computed form = 0.1100 eV per atom

a b c (Å): 3.461 3.461 8.785
angles (deg): 90.00 90.00 90.00
Fractional coordinates of all 4 atoms:
Y 0.000 0.000 0.982
Y 0.500 0.500 0.282
Be 0.000 0.000 0.449
Br 0.500 0.500 0.787

***

# 3
Here is a geometry-optimized YBeBr structure from Alexandria via LeMat-Bulk. Energies are from PBEsol.

offset from the most stable computed form = 0.0000 eV per atom

a b c (Å): 3.625 3.625 7.045
angles (deg): 90.00 90.00 120.00
Fractional coordinates of all 3 atoms:
Y 0.667 0.333 0.328
Be 0.000 0.000 0.068
Br 0.333 0.667 0.604

***

> Which formula does entry 1 have?

BeWBr2